A relaxed CeNd3Y6Er2 crystal. Source: Alexandria, functional PBE.

size of the total moment	1.2	μB per formula unit
volume	391.46	Å³ per cell
DOS(E_F)	1.597	states/eV/atom
energy	-67.726	eV/cell
ΔH_f (0 K)	0.035	eV per atom

abc: 6.2205 6.2205 11.8621
angles: 95.01 95.01 119.98
Site moments in Bohr magnetons follow the coordinates.
Positions (direct):
Ce 0.0000 0.0000 0.0000  0.77
Nd 0.1676 0.8324 0.5000  -0.01
Nd 0.8324 0.1676 0.5000  -0.01
Nd 0.5000 0.5000 0.5000  -0.01
Y 0.9177 0.5863 0.7539  0.02
Y 0.7505 0.7505 0.2462  0.02
Y 0.0823 0.4137 0.2461  0.02
Y 0.5863 0.9177 0.7539  0.02
Y 0.2495 0.2495 0.7538  0.02
Y 0.4137 0.0823 0.2461  0.02
Er 0.3334 0.6666 0.0000  0.04
Er 0.6666 0.3334 0.0000  0.04

***

A relaxed Np2BeGe3Pt4 crystal. Source: Alexandria, functional PBE.

size of the total moment	8.4	μB per formula unit
volume	181.41	Å³ per cell
DOS(E_F)	2.265	states/eV/atom
energy	-72.953	eV/cell
ΔH_f (0 K)	-0.533	eV per atom

abc: 4.2052 4.2052 10.2584
angles: 90.00 90.00 90.00
Site moments in Bohr magnetons follow the coordinates.
Positions (direct):
Np 0.5000 0.0000 0.2606  3.84
Np 0.0000 0.5000 0.7394  3.84
Be 0.5000 0.5000 0.5000  0.02
Ge 0.0000 0.0000 0.5000  -0.03
Ge 0.5000 0.0000 0.8604  0.01
Ge 0.0000 0.5000 0.1396  0.01
Pt 0.5000 0.5000 0.0000  0.09
Pt 0.0000 0.0000 0.0000  0.09
Pt 0.5000 0.0000 0.6221  -0.03
Pt 0.0000 0.5000 0.3779  -0.03

***

A relaxed La2DyRu crystal. Source: Alexandria, functional PBE.

size of the total moment	0.0	μB per formula unit
volume	132.53	Å³ per cell
DOS(E_F)	1.328	states/eV/atom
energy	-23.159	eV/cell
ΔE to the lowest computed polymorph	0.389	eV per atom
ΔH_f (0 K)	0.143	eV per atom

abc: 3.8275 3.8275 10.6771
angles: 79.67 79.67 60.00
Positions (direct):
Ru 0.5000 0.5000 0.5000
La 0.1117 0.1117 0.6649
La 0.8883 0.8883 0.3352
Dy 0.0000 0.0000 0.0000